BaSe2N | GGA-PBE | relaxed

POSCAR file:
```
BaSe2N
1.0
3.051 0.000 6.243
-1.525 2.642 6.243
-1.525 -2.642 6.243
N Se Ba
1 2 1
Cartesian
0.000 0.000 0.000 N
0.000 0.000 16.948 Se
0.000 0.000 1.781 Se
0.000 0.000 9.364 Ba
```

=====

BaSe2N2 | GGA-PBE | relaxed

POSCAR file:
```
BaSe2N2
1.0
-2.085 1.939 2.997
-5.535 -7.588 -1.789
6.624 0.236 4.454
Ba Se N
2 4 4
Cartesian
-5.511 -6.011 1.668 Ba
4.515 0.599 3.993 Ba
1.586 -1.727 4.484 Se
-2.582 -3.685 1.177 Se
-2.156 -1.446 2.875 Se
1.160 -3.966 2.786 Se
1.309 -5.605 3.323 N
-2.891 -4.896 2.376 N
-2.306 0.193 2.338 N
1.894 -0.516 3.286 N
```

=====

Ba3SeN | GGA-PBE | relaxed

POSCAR file:
```
Ba3SeN
1.0
5.499 0.000 0.000
0.000 5.499 0.000
0.000 0.000 5.499
N Se Ba
1 1 3
Cartesian
0.000 0.000 0.000 N
2.749 2.749 2.749 Se
2.749 0.000 0.000 Ba
0.000 2.749 0.000 Ba
0.000 0.000 2.749 Ba
```

=====

BaSe2N4 | GGA-PBE | relaxed

POSCAR file:
```
BaSe2N4
1.0
-3.929 2.550 1.834
-2.925 -4.040 -0.651
-2.069 -2.616 6.104
N Ba Se
4 1 2
Cartesian
-2.724 -1.713 3.444 N
-1.463 -2.020 -0.325 N
-6.199 -2.393 3.842 N
-1.965 1.275 0.917 N
0.000 0.000 0.000 Ba
-3.095 -1.202 1.939 Se
-5.829 -2.904 5.348 Se
```

=====

Ba2SeN2 | GGA-PBE | relaxed

POSCAR file:
```
Ba2SeN2
1.0
4.260 0.563 1.219
0.968 4.187 1.219
1.716 1.559 8.545
N Ba Se
2 2 1
Cartesian
4.701 1.801 5.491 N
2.243 4.507 5.491 N
4.029 3.660 7.549 Ba
2.915 2.649 3.434 Ba
0.000 0.000 0.000 Se
```

=====

BaSe2N | GGA-PBE | relaxed

POSCAR file:
```
BaSe2N
1.0
7.556 0.000 0.000
0.000 7.556 0.000
3.778 3.778 3.470
Se Ba N
4 2 2
Cartesian
5.667 6.783 2.602 Se
3.005 5.667 0.867 Se
4.551 1.889 0.867 Se
9.445 8.329 2.602 Se
0.000 0.000 0.000 Ba
7.556 3.778 1.735 Ba
3.778 7.556 1.735 N
3.778 3.778 0.000 N
```

=====

no.,raw total energy (eV per atom),uncorrected formation energy (eV per formula unit)
1,-4.277,0.110
2,-5.082,0.133
3,-4.295,-3.896
4,-4.711,9.215
5,-5.831,-5.177
6,-4.347,-0.172